(1)
A geometry-optimized FeBrCl structure. Source: Alexandria via LeMat-Bulk, functional PBE-GGA.

The space group is P-1 (No. 2) and the conventional cell measures 3.618, 6.242 and 6.945 Å, with angles of 88.58, 81.97 and 89.99 degrees. Symmetry generates all atoms from Fe at (0.000, 0.000, 0.000), Fe at (0.500, 0.500, 0.000), Br at (0.061, 0.341, 0.772) and Cl at (0.448, 0.163, 0.195).

For the energy above the most stable polymorph in this dataset, the calculation gives 11.6 meV per atom. As for the crystal system: triclinic.

=====

(2)
A geometry-optimized FeBr2Cl5 structure. Source: Alexandria via LeMat-Bulk, functional PBE-GGA.

The space group is P1 (No. 1) and the conventional cell measures 6.471, 6.818 and 7.786 Å, with angles of 84.80, 76.38 and 72.57 degrees. Symmetry generates all atoms from Fe at (0.000, 0.000, 0.000), Br at (0.176, 0.544, 0.609), Br at (0.496, 0.327, 0.419), Cl at (0.152, 0.681, 0.057), Cl at (0.288, 0.100, 0.993), Cl at (0.775, 0.994, 0.280), Cl at (0.787, 0.302, 0.950) and Cl at (0.950, 0.913, 0.737).

As for the crystal system: triclinic. The value obtained for the total energy is -23.5 eV per cell.

=====

(3)
A geometry-optimized Fe2BrCl structure. Source: Alexandria via LeMat-Bulk, functional PBE-GGA.

The space group is F-43m (No. 216) and the conventional cell measures 6.595, 6.595 and 6.595 Å, with angles of 90.00, 90.00 and 90.00 degrees. Symmetry generates all atoms from Fe at (0.000, 0.000, 0.000), Fe at (0.250, 0.250, 0.250), Br at (0.000, 0.000, 0.500) and Cl at (0.250, 0.250, 0.750).

For the energy above the most stable polymorph in this dataset, the calculation gives 896.9 meV per atom. As for the crystal system: cubic.

=====

(4)
A geometry-optimized FeBrCl structure. Source: Alexandria via LeMat-Bulk, functional PBE-GGA.

The space group is F-43m (No. 216) and the conventional cell measures 6.668, 6.668 and 6.668 Å, with angles of 90.00, 90.00 and 90.00 degrees. Symmetry generates all atoms from Fe at (0.000, 0.000, 0.000), Br at (0.250, 0.250, 0.250) and Cl at (0.000, 0.000, 0.500).

For the energy above the most stable polymorph in this dataset, the calculation gives 1131.8 meV per atom. As for the crystal system: cubic.

=====

What did the first record say?
A geometry-optimized FeBrCl structure. Source: Alexandria via LeMat-Bulk, functional PBE-GGA.

The space group is P-1 (No. 2) and the conventional cell measures 3.618, 6.242 and 6.945 Å, with angles of 88.58, 81.97 and 89.99 degrees. Symmetry generates all atoms from Fe at (0.000, 0.000, 0.000), Fe at (0.500, 0.500, 0.000), Br at (0.061, 0.341, 0.772) and Cl at (0.448, 0.163, 0.195).

For the energy above the most stable polymorph in this dataset, the calculation gives 11.6 meV per atom. As for the crystal system: triclinic.